Entry 1:
# LaMgSi2Rh2 | Alexandria | GGA-PBE | optimized geometry
data_LaMgSi2Rh2
_chemical_formula_sum 'La1 Mg1 Si2 Rh2'
_cell_length_a 4.2538
_cell_length_b 4.2538
_cell_length_c 6.9976
_cell_angle_alpha 90.00
_cell_angle_beta 90.00
_cell_angle_gamma 120.00
_symmetry_space_group_name_H-M 'P -3 m 1'
_symmetry_Int_Tables_number 164
_symmetry_space_group_name_Hall '-P 3 2"'
loop_
_atom_site_label
_atom_site_type_symbol
_atom_site_fract_x
_atom_site_fract_y
_atom_site_fract_z
La1 La 0.0000 0.0000 0.0000
Mg1 Mg 0.0000 0.0000 0.5000
Si1 Si 0.3333 0.6667 0.2856
Rh1 Rh 0.3333 0.6667 0.6386
# Raw total energy   -6.219 eV per atom
# E_form (uncorrected)   -874 meV per atom
# Magnetic moment   0.00 μB/atom

=====

Entry 2:
# La2MgSnRh | Alexandria | GGA-PBE | optimized geometry
data_La2MgSnRh
_chemical_formula_sum 'La2 Mg1 Sn1 Rh1'
_cell_length_a 5.4474
_cell_length_b 5.4474
_cell_length_c 5.0482
_cell_angle_alpha 90.00
_cell_angle_beta 90.00
_cell_angle_gamma 90.00
_symmetry_space_group_name_H-M 'P 4/m m m'
_symmetry_Int_Tables_number 123
_symmetry_space_group_name_Hall '-P 4 2'
loop_
_atom_site_label
_atom_site_type_symbol
_atom_site_fract_x
_atom_site_fract_y
_atom_site_fract_z
La1 La 0.0000 0.5000 0.0000
Mg1 Mg 0.0000 0.0000 0.5000
Sn1 Sn 0.5000 0.5000 0.5000
Rh1 Rh 0.0000 0.0000 0.0000
# ΔE_f   -2.8 eV/f.u.
# Raw total energy   -5.118 eV per atom
# Magnetic moment   0.00 μB/atom

=====

Entry 3:
# La2Mg2SnRh5 | Alexandria | GGA-PBE | optimized geometry
data_La2Mg2SnRh5
_chemical_formula_sum 'La4 Mg4 Sn2 Rh10'
_cell_length_a 10.1777
_cell_length_b 10.1777
_cell_length_c 3.6386
_cell_angle_alpha 90.00
_cell_angle_beta 90.00
_cell_angle_gamma 90.00
_symmetry_space_group_name_H-M 'P 4/m b m'
_symmetry_Int_Tables_number 127
_symmetry_space_group_name_Hall '-P 4 2ab'
loop_
_atom_site_label
_atom_site_type_symbol
_atom_site_fract_x
_atom_site_fract_y
_atom_site_fract_z
La1 La 0.1758 0.3242 0.0000
Mg1 Mg 0.1234 0.6234 0.0000
Sn1 Sn 0.0000 0.0000 0.0000
Rh1 Rh 0.0000 0.5000 0.5000
Rh2 Rh 0.0613 0.7983 0.5000
# ΔE_f   -5.0 eV/f.u.
# Raw total energy   -5.885 eV per atom
# Magnetic moment   0.00 μB/atom

=====

Entry 4:
# LaMg2SnRh | Alexandria | GGA-PBE | optimized geometry
data_LaMg2SnRh
_chemical_formula_sum 'La1 Mg2 Sn1 Rh1'
_cell_length_a 4.9392
_cell_length_b 4.9392
_cell_length_c 5.1061
_cell_angle_alpha 90.00
_cell_angle_beta 90.00
_cell_angle_gamma 90.00
_symmetry_space_group_name_H-M 'P 4/m m m'
_symmetry_Int_Tables_number 123
_symmetry_space_group_name_Hall '-P 4 2'
loop_
_atom_site_label
_atom_site_type_symbol
_atom_site_fract_x
_atom_site_fract_y
_atom_site_fract_z
La1 La 0.0000 0.0000 0.0000
Mg1 Mg 0.0000 0.5000 0.5000
Sn1 Sn 0.5000 0.5000 0.0000
Rh1 Rh 0.5000 0.5000 0.5000
# ΔE_f   -2.2 eV/f.u.
# Raw total energy   -4.331 eV per atom
# Magnetic moment   0.00 μB/atom